The following is a meta-GGA SCAN calculation of NbTe2F at its PBEsol-relaxed geometry, from Alexandria.

Geometry as extended XYZ:
```
8
Lattice="6.368 0.000 0.000 -3.184 6.306 0.030 0.000 3.189 5.512" Properties=species:S:1:pos:R:3 pbc="T T T"
F 3.184 1.595 2.756
F 0.000 3.950 1.393
Te 4.776 3.572 3.456
Te 1.592 1.973 0.693
Te 1.596 5.926 2.089
Te -1.596 7.520 4.845
Nb 3.184 5.545 4.149
Nb 0.000 0.000 0.000
```

space group	I-42d
D(E_F)	0.07	states/eV/cell
VASP energy	-28.1590	eV per atom

The following is a meta-GGA SCAN calculation of Ti2NbF at its PBEsol-relaxed geometry, from Alexandria.

Geometry as extended XYZ:
```
4
Lattice="4.391 0.000 0.000 2.196 3.803 0.000 2.196 1.268 3.585" Properties=species:S:1:pos:R:3 pbc="T T T"
Ti 6.587 3.803 2.689
Ti 2.196 1.268 0.896
F 0.000 0.000 0.000
Nb 4.391 2.535 1.793
```

space group	Fm-3m
D(E_F)	3.01	states/eV/cell
VASP energy	-17.1431	eV per atom

The following is a meta-GGA SCAN calculation of NbWF2 at its PBEsol-relaxed geometry, from Alexandria.

Geometry as extended XYZ:
```
4
Lattice="-2.092 -3.061 1.953 -2.074 -2.875 -2.233 1.413 -3.941 -0.169" Properties=species:S:1:pos:R:3 pbc="T T T"
Nb 0.000 0.000 0.000
F -0.688 -2.469 -0.112
F -2.065 -7.408 -0.337
W -1.377 -4.939 -0.225
```

space group	Fm-3m
D(E_F)	2.98	states/eV/cell
VASP energy	-27.1648	eV per atom